## Mg2CuGeS4 (PBE)

Data for crystalline Mg2CuGeS4 at its relaxed geometry.

The structure belongs to space group I-42m (No. 121); the cell edges are 5.655, 5.655 and 10.938 Å and the angles 90.00°, 90.00° and 90.00°. The distinct sites, in fractional coordinates, are Mg at (0.000, 0.500, 0.250), Cu at (0.000, 0.000, 0.000), Ge at (0.000, 0.000, 0.500) and S at (0.240, 0.240, 0.880).


## CuAs5Pd3 (PBE)

Data for crystalline CuAs5Pd3 at its relaxed geometry.

The structure belongs to space group P6/mmm (No. 191); the cell edges are 5.4999, 5.4999 and 6.8801 Å and the angles 90.00°, 90.00° and 120.00°. The distinct sites, in fractional coordinates, are Cu at (0.0000, 0.0000, 0.0000), As at (0.0000, 0.0000, 0.5000), As at (0.3333, 0.6667, 0.2018) and Pd at (0.0000, 0.5000, 0.5000).


| no. | total DFT energy (no corrections) (eV per atom) |
| --- | --- |
| 1 | -4.263 |
| 2 | -4.509 |